The following is a GGA-PBE calculation of AcNd5Dy2Y after structural relaxation, from the Alexandria database.

a b c (Å): 5.5994 12.5147 9.5644
angles (deg): 90.00 90.00 102.93
With the nearest neighbours (Å) after each atom.
Fractional positions:
Ac 0.3976 0.7951 0.4261  5 Nd 3.45-3.77
Ac 0.6024 0.2049 0.9261  5 Nd 3.45-3.77
Nd 0.9910 0.9820 0.0360  2 Dy 3.46-3.81, 4 Nd 3.59-3.67
Nd 0.4754 0.9508 0.7541  3 Nd 3.32-3.59, 2 Ac 3.51-3.67, 2 Dy 3.54
Nd 0.7413 0.4826 0.8582  3 Y 3.16-3.26, 1 Ac 3.45, 2 Nd 3.52
Nd 0.0090 0.0180 0.5360  2 Dy 3.46-3.81, 4 Nd 3.59-3.67
Nd 0.6060 0.2119 0.5324  4 Nd 3.32-3.67, 4 Dy 3.52-3.65
Nd 0.3107 0.6214 0.7232  3 Dy 3.38-3.43, 3 Y 3.49-3.52, 4 Nd 3.52-3.71, 1 Ac 3.54
Nd 0.6893 0.3786 0.2232  3 Dy 3.38-3.43, 3 Y 3.49-3.52, 4 Nd 3.52-3.71, 1 Ac 3.54
Nd 0.3940 0.7881 0.0324  4 Nd 3.32-3.67, 4 Dy 3.52-3.65
Nd 0.2587 0.5174 0.3582  3 Y 3.16-3.26, 1 Ac 3.45, 2 Nd 3.52
Nd 0.5246 0.0492 0.2541  3 Nd 3.32-3.59, 2 Ac 3.51-3.67, 2 Dy 3.54
Dy 0.1121 0.2242 0.2873  9 Nd 3.43-3.81
Dy 0.8265 0.6529 0.1738  6 Nd 3.38-3.70, 1 Y 3.75
Dy 0.1735 0.3471 0.6738  6 Nd 3.38-3.70, 1 Y 3.75
Dy 0.8879 0.7758 0.7873  9 Nd 3.43-3.81
Y 0.7649 0.5298 0.5329  6 Nd 3.16-3.52
Y 0.2351 0.4702 0.0329  6 Nd 3.16-3.52

**E_tot**: -4.703 eV/atom
**DFT formation energy**: 1.3 eV/f.u.
**Volume**: 36.3 Å³/atom
**M_tot**: 0.000 μB per formula unit
**Crystal system**: orthorhombic

=====

The following is a GGA-PBE calculation of AcNd2Dy3Y6 after structural relaxation, from the Alexandria database.

a b c (Å): 6.2782 6.2782 11.9232
angles (deg): 95.02 95.02 119.98
With the nearest neighbours (Å) after each atom.
Fractional positions:
Y 0.4206 0.0853 0.2557  3 Dy 3.54-3.55, 6 Y 3.61-3.65, 2 Nd 3.66, 1 Ac 3.67
Y 0.2501 0.2501 0.7441  3 Dy 3.54-3.55, 6 Y 3.61-3.65, 2 Nd 3.66, 1 Ac 3.67
Y 0.9147 0.5794 0.7443  3 Dy 3.54-3.55, 6 Y 3.61-3.65, 2 Nd 3.66, 1 Ac 3.67
Y 0.0853 0.4206 0.2557  3 Dy 3.54-3.55, 6 Y 3.61-3.65, 2 Nd 3.66, 1 Ac 3.67
Y 0.5794 0.9147 0.7443  3 Dy 3.54-3.55, 6 Y 3.61-3.65, 2 Nd 3.66, 1 Ac 3.67
Y 0.7499 0.7499 0.2559  3 Dy 3.54-3.55, 6 Y 3.61-3.65, 2 Nd 3.66, 1 Ac 3.67
Ac 0.0000 0.0000 0.0000  6 Nd 3.63, 6 Y 3.67
Dy 0.5000 0.5000 0.5000  6 Y 3.54-3.55, 6 Dy 3.62-3.63
Dy 0.1668 0.8332 0.5000  6 Y 3.54-3.55, 6 Dy 3.62-3.63
Dy 0.8332 0.1668 0.5000  6 Y 3.54-3.55, 6 Dy 3.62-3.63
Nd 0.6666 0.3334 0.0000  3 Nd 3.62-3.63, 3 Ac 3.63, 6 Y 3.66
Nd 0.3334 0.6666 0.0000  3 Nd 3.62-3.63, 3 Ac 3.63, 6 Y 3.66

**E_tot**: -5.492 eV/atom
**DFT formation energy**: 0.3 eV/f.u.
**Volume**: 33.4 Å³/atom
**M_tot**: 0.000 μB per formula unit
**Crystal system**: monoclinic

=====

The following is a GGA-PBE calculation of AcNdDyY3 after structural relaxation, from the Alexandria database.

a b c (Å): 5.6865 10.5953 7.3722
angles (deg): 89.58 90.00 105.57
With the nearest neighbours (Å) after each atom.
Fractional positions:
Dy 0.9422 0.8844 0.6966  3 Y 3.29-3.34, 2 Nd 3.62
Dy 0.0578 0.1156 0.3034  3 Y 3.29-3.34, 2 Nd 3.62
Y 0.7794 0.5587 0.7489  1 Dy 3.34, 3 Nd 3.37-3.56, 3 Ac 3.48-3.62, 3 Y 3.72-3.73
Y 0.2206 0.4413 0.2511  1 Dy 3.34, 3 Nd 3.37-3.56, 3 Ac 3.48-3.62, 3 Y 3.72-3.73
Y 0.8379 0.6759 0.2686  2 Nd 3.45, 2 Ac 3.64, 3 Y 3.72-3.73, 1 Dy 3.82
Y 0.1621 0.3241 0.7314  2 Nd 3.45, 2 Ac 3.64, 3 Y 3.72-3.73, 1 Dy 3.82
Y 0.4774 0.9548 0.2750  1 Nd 3.21, 2 Dy 3.29, 1 Ac 3.38, 1 Y 3.45
Y 0.5226 0.0452 0.7250  1 Nd 3.21, 2 Dy 3.29, 1 Ac 3.38, 1 Y 3.45
Nd 0.3500 0.7000 0.5323  1 Ac 3.18, 6 Y 3.21-3.56
Nd 0.6500 0.3000 0.4677  1 Ac 3.18, 6 Y 3.21-3.56
Ac 0.3566 0.7133 0.9635  1 Nd 3.18, 2 Y 3.38-3.48
Ac 0.6434 0.2867 0.0365  1 Nd 3.18, 2 Y 3.38-3.48

**E_tot**: -5.235 eV/atom
**DFT formation energy**: 1.5 eV/f.u.
**Volume**: 35.7 Å³/atom
**M_tot**: 0.000 μB per formula unit
**Crystal system**: monoclinic

=====

The following is a GGA-PBE calculation of AcNdDyY after structural relaxation, from the Alexandria database.

a b c (Å): 5.8844 5.8844 5.8844
angles (deg): 60.00 60.00 60.00
With the nearest neighbours (Å) after each atom.
Fractional positions:
Nd 0.0000 0.0000 0.0000  4 Dy 3.60, 4 Y 3.60
Dy 0.2500 0.2500 0.2500  4 Nd 3.60, 4 Ac 3.60
Y 0.7500 0.7500 0.7500  4 Ac 3.60, 4 Nd 3.60
Ac 0.5000 0.5000 0.5000  4 Dy 3.60, 4 Y 3.60

**E_tot**: -4.879 eV/atom
**E above lowest polymorph**: 51 meV/atom
**DFT formation energy**: 0.4 eV/f.u.
**Volume**: 36.0 Å³/atom
**M_tot**: 0.000 μB per formula unit
**Crystal system**: cubic